Below is a relaxed Ho8Si3Te3S crystal, with properties calculated at the PBE level.

The size of the total moment comes out at 0.0 μB/cell. As for the electronic total energy: -248.34 eV per cell. For the density of states at the Fermi level, the calculation gives 0.530 states/eV/atom. For the uncorrected formation energy, the calculation gives -1.089 eV per atom. For the calculated density, the calculation gives 7.4 g cm⁻³.

The structure belongs to space group R-3m (No. 166, hexagonal axes); the cell edges are 8.2704, 8.2704 and 20.8046 Å and the angles 90.00°, 90.00° and 120.00°. Symmetry generates all atoms from Ho at (0.0000, 0.0000, 0.2396), Ho at (0.0072, 0.5036, 0.7597), Si at (0.0000, 0.5000, 0.5000), Te at (0.0000, 0.5000, 0.0000) and S at (0.0000, 0.0000, 0.5000).